First-principles (PBE) data for a relaxed Na2SrMg crystal, as listed in the Alexandria database.

- N(E_F): 2.59 states/eV/cell
- Calculated total energy: -5.63 eV per cell
- Crystal system: tetragonal
- Formation energy: 0.07 eV/atom
- SG: P4/mmm (123)
- Density: 1.7 g/cm3

extended XYZ file:
```
4
Lattice="5.806 0.000 0.000 0.000 5.107 0.000 0.000 0.000 5.107" Properties=species:S:1:pos:R:3 pbc="T T T"
Mg 2.903 0.000 0.000
Na 0.000 0.000 2.554
Na 0.000 2.554 0.000
Sr 2.903 2.554 2.554
```

=====

First-principles (PBE) data for a relaxed Ba4HgSb crystal, as listed in the Alexandria database.

- N(E_F): 8.05 states/eV/cell
- Calculated total energy: -11.44 eV per cell
- Crystal system: cubic
- SG: F-43m (216)
- Density: 5.4 g/cm3

extended XYZ file:
```
6
Lattice="1.396 1.402 6.958 -5.286 -0.474 4.916 0.032 -5.378 4.838" Properties=species:S:1:pos:R:3 pbc="T T T"
Sb 0.000 0.000 0.000
Ba -1.425 -4.382 8.690
Ba -1.441 -1.662 6.243
Ba -0.735 -0.953 9.763
Ba -4.115 -1.902 8.730
Hg -2.894 -3.337 12.535
```

=====

First-principles (PBE) data for a relaxed Pm2SnCl crystal, as listed in the Alexandria database.

- N(E_F): 4.29 states/eV/cell
- Calculated total energy: -38.22 eV per cell
- Crystal system: orthorhombic
- SG: Pmmn (59)
- Density: 6.6 g/cm3

extended XYZ file:
```
8
Lattice="-0.835 1.059 -3.347 0.926 -5.107 -1.846 -10.828 -2.637 1.866" Properties=species:S:1:pos:R:3 pbc="T T T"
Cl -6.666 -1.623 1.149
Cl -4.117 -3.038 -1.880
Pm -1.134 -2.942 -0.648
Pm -5.976 -4.122 0.186
Pm -9.649 -1.719 -0.083
Pm -4.807 -0.540 -0.917
Sn -8.949 -4.846 0.698
Sn -1.834 0.184 -1.430
```

=====

First-principles (PBE) data for a relaxed SrH3Pt crystal, as listed in the Alexandria database.

- N(E_F): 5.62 states/eV/cell
- Calculated total energy: -13.55 eV per cell
- Crystal system: cubic
- SG: Pm-3m (221)
- Density: 6.4 g/cm3

extended XYZ file:
```
5
Lattice="-0.119 -0.304 -4.193 3.460 -2.390 0.075 -2.388 -3.448 0.318" Properties=species:S:1:pos:R:3 pbc="T T T"
H -0.059 -0.152 -2.097
H -1.194 -1.724 0.159
H 1.730 -1.195 0.038
Pt 0.477 -3.071 -1.900
Sr 0.000 0.000 0.000
```